! Mg3Sc2In4 (PBE, relaxed); values from VASP
&SYSTEM
  ibrav = 0, nat = 18, ntyp = 3
/
ATOMIC_SPECIES
Mg 24.30 Mg.upf
Sc 44.96 Sc.upf
In 114.82 In.upf
CELL_PARAMETERS angstrom
6.1568 0.0000 0.0000
0.0000 7.9574 0.0000
-3.0784 0.0000 8.7124
ATOMIC_POSITIONS angstrom
Mg 0.0000 0.0000 0.0000
Mg 3.0784 3.9787 0.0000
Mg 1.5392 5.9680 4.5537
Mg 4.6176 1.9893 4.1587
Mg 1.5392 1.9893 4.1587
Mg -1.5392 5.9680 4.5537
Sc 0.0000 4.8480 1.5464
Sc 3.0784 3.1094 7.1660
Sc 0.0000 0.8693 7.1660
Sc 3.0784 7.0881 1.5464
In 1.5392 5.9680 7.5504
In 4.6176 1.9893 1.1619
In 1.5392 1.9893 1.1619
In -1.5392 5.9680 7.5504
In 0.0000 7.6991 2.8228
In 3.0784 0.2583 5.8896
In 0.0000 3.7204 5.8896
In 3.0784 4.2370 2.8228
! Symmetry: Cmce, No. 64
! Volume in A^3/atom: 23.7
! ΔH_f (0 K) in eV per atom: -0.13
! E in eV per atom: -3.2875
! D(E_F) in states/eV/cell: 13.83

! Ac4Sb3Cl (PBE, relaxed); values from VASP
&SYSTEM
  ibrav = 0, nat = 8, ntyp = 3
/
ATOMIC_SPECIES
Sb 121.76 Sb.upf
Ac 227.00 Ac.upf
Cl 35.45 Cl.upf
CELL_PARAMETERS angstrom
-6.4308 1.3011 -1.1841
-0.1582 -4.9214 -4.4949
1.5428 -2.4984 7.6185
ATOMIC_POSITIONS angstrom
Sb -3.2945 -1.8102 -2.8395
Sb -4.0912 -1.5037 1.7974
Sb -0.9549 -4.6150 0.1421
Ac -4.9670 -3.6580 4.1869
Ac -1.8307 -6.7692 2.5316
Ac -0.8907 -2.1910 2.4303
Ac -4.1554 -3.9278 -0.4906
Cl -6.4308 1.3011 -1.1841
! Symmetry: Fmmm, No. 69
! Volume in A^3/atom: 37.1
! Energy relative to the elements, uncorrected in eV per formula unit: -10.34
! E in eV per atom: -5.1236
! D(E_F) in states/eV/cell: 2.92

! SmErNp2As4 (PBE, relaxed); values from VASP
&SYSTEM
  ibrav = 0, nat = 8, ntyp = 4
/
ATOMIC_SPECIES
Sm 150.36 Sm.upf
Er 167.26 Er.upf
Np 237.00 Np.upf
As 74.92 As.upf
CELL_PARAMETERS angstrom
4.1055 0.0000 0.0000
0.0000 7.1527 0.1366
0.0000 -2.4885 6.7072
ATOMIC_POSITIONS angstrom
Sm 0.0000 0.0000 0.0000
Er 2.0528 3.5763 0.0683
Np 2.0528 -1.2442 3.3536
Np 0.0000 2.3321 3.4219
As 2.0528 1.1951 1.7509
As 2.0528 3.4691 5.0929
As 0.0000 -0.0481 5.0480
As 0.0000 4.7123 1.7957
! Symmetry: P2/m, No. 10
! Volume in A^3/atom: 24.8
! ΔH_f (0 K) in eV per atom: -1.07
! E in eV per atom: -7.7900
! D(E_F) in states/eV/cell: 22.39

! FeTcCl2 (PBE, relaxed); values from VASP
&SYSTEM
  ibrav = 0, nat = 4, ntyp = 3
/
ATOMIC_SPECIES
Cl 35.45 Cl.upf
Tc 98.00 Tc.upf
Fe 55.84 Fe.upf
CELL_PARAMETERS angstrom
-2.9548 -5.9220 -4.4142
-0.3256 -7.1758 -3.4187
-2.8363 -7.2494 -1.6393
ATOMIC_POSITIONS angstrom
Cl -6.0606 -20.1608 -9.3855
Cl -3.1144 -10.3600 -4.8229
Tc -4.5875 -15.2604 -7.1042
Fe -1.5292 -5.0868 -2.3681
! Symmetry: R-3m, No. 166
! Distance to the lowest polymorph of the same formula in meV/atom: 530
! Volume in A^3/atom: 15.9
! Energy relative to the elements, uncorrected in eV per formula unit: 1.79
! E in eV per atom: -5.1822
! D(E_F) in states/eV/cell: 3.68

! Tb4CoTe2 (PBE, relaxed); values from VASP
&SYSTEM
  ibrav = 0, nat = 7, ntyp = 3
/
ATOMIC_SPECIES
Tb 158.93 Tb.upf
Co 58.93 Co.upf
Te 127.60 Te.upf
CELL_PARAMETERS angstrom
-0.8297 -1.8961 3.5354
4.2671 -5.2768 -1.8286
3.7115 6.9957 2.2495
ATOMIC_POSITIONS angstrom
Tb 3.0968 2.7217 4.5600
Tb 4.0521 -2.8989 -0.6038
Tb 1.3325 -1.0176 2.1405
Tb 5.8164 0.8404 1.8158
Co 0.0000 0.0000 0.0000
Te 4.3227 -1.9579 2.3379
Te 2.8262 1.7807 1.6183
! Symmetry: C2/m, No. 12
! Volume in A^3/atom: 29.3
! Energy relative to the elements, uncorrected in eV per formula unit: -5.22
! E in eV per atom: -5.3049
! D(E_F) in states/eV/cell: 4.38

! MgTiV2 (PBE, relaxed); values from VASP
&SYSTEM
  ibrav = 0, nat = 8, ntyp = 3
/
ATOMIC_SPECIES
Mg 24.30 Mg.upf
V 50.94 V.upf
Ti 47.87 Ti.upf
CELL_PARAMETERS angstrom
3.7371 0.0000 0.0000
0.0000 3.7371 0.0000
1.8685 1.8685 9.4351
ATOMIC_POSITIONS angstrom
Mg 1.8685 1.8685 0.0000
Mg 1.8685 3.7371 4.7175
V 2.8682 0.9343 2.3588
V 0.8688 2.8028 2.3588
V 2.8028 2.7374 7.0763
V 4.6713 4.7368 7.0763
Ti 0.0000 0.0000 0.0000
Ti 3.7371 1.8685 4.7175
! Symmetry: I-42d, No. 122
! Volume in A^3/atom: 16.5
! ΔH_f (0 K) in eV per atom: 0.66
! E in eV per atom: -6.2724
! D(E_F) in states/eV/cell: 6.70

! GaHS2 (PBE, relaxed); values from VASP
&SYSTEM
  ibrav = 0, nat = 4, ntyp = 3
/
ATOMIC_SPECIES
Ga 69.72 Ga.upf
H 1.01 H.upf
S 32.06 S.upf
CELL_PARAMETERS angstrom
-1.5055 0.9790 2.9744
-0.6690 -6.1900 1.6987
3.0613 -6.4459 1.6419
ATOMIC_POSITIONS angstrom
Ga 0.5591 -4.0843 3.6567
H 0.4573 -6.8276 2.4787
S 0.2394 -3.5890 1.3025
S 1.6050 -6.2076 2.8556
! Symmetry: Cm, No. 8
! Distance to the lowest polymorph of the same formula in meV/atom: 81
! Volume in A^3/atom: 18.5
! E in eV per atom: -4.0520
! D(E_F) in states/eV/cell: 0.00

! Sc2BeSe (PBE, relaxed); values from VASP
&SYSTEM
  ibrav = 0, nat = 4, ntyp = 3
/
ATOMIC_SPECIES
Sc 44.96 Sc.upf
Be 9.01 Be.upf
Se 78.96 Se.upf
CELL_PARAMETERS angstrom
3.6423 -0.0020 -0.0015
1.8275 3.1506 -0.0015
1.8160 1.0454 6.7138
ATOMIC_POSITIONS angstrom
Sc 5.4705 3.1490 0.0306
Sc 3.6423 2.0966 3.3218
Be 1.8215 1.0485 1.6777
Se 5.4644 3.1455 5.0331
! Symmetry: C2/m, No. 12
! Distance to the lowest polymorph of the same formula in meV/atom: 19
! Volume in A^3/atom: 19.3
! Energy relative to the elements, uncorrected in eV per formula unit: -2.76
! E in eV per atom: -5.6593
! D(E_F) in states/eV/cell: 2.28

Repeat the fourth record exactly.
! FeTcCl2 (PBE, relaxed); values from VASP
&SYSTEM
  ibrav = 0, nat = 4, ntyp = 3
/
ATOMIC_SPECIES
Cl 35.45 Cl.upf
Tc 98.00 Tc.upf
Fe 55.84 Fe.upf
CELL_PARAMETERS angstrom
-2.9548 -5.9220 -4.4142
-0.3256 -7.1758 -3.4187
-2.8363 -7.2494 -1.6393
ATOMIC_POSITIONS angstrom
Cl -6.0606 -20.1608 -9.3855
Cl -3.1144 -10.3600 -4.8229
Tc -4.5875 -15.2604 -7.1042
Fe -1.5292 -5.0868 -2.3681
! Symmetry: R-3m, No. 166
! Distance to the lowest polymorph of the same formula in meV/atom: 530
! Volume in A^3/atom: 15.9
! Energy relative to the elements, uncorrected in eV per formula unit: 1.79
! E in eV per atom: -5.1822
! D(E_F) in states/eV/cell: 3.68

Which of these has the highest E?
Mg3Sc2In4